Record 1
## LiCoAsPt (GGA-PBE)

Data for crystalline LiCoAsPt at its relaxed geometry.

Calculated values
energy of formation from the pure elements = -0.28 eV/atom
E_tot = -20.8 eV/f.u.
spin magnetization = 1.411 μB/f.u.

Cell lengths 4.203, 4.203, 4.203 Å; angles 60.00, 60.00, 60.00 degrees
Last column: magnetic moment on the atom in μB.
Positions (direct):
As1 0.750 0.750 0.750  0.03
Co1 0.000 0.000 0.000  1.23
Pt1 0.500 0.500 0.500  0.17
Li1 0.250 0.250 0.250  0.00

---

Record 2
## DyGe2OsRu (GGA-PBE)

Data for crystalline DyGe2OsRu at its relaxed geometry.

Calculated values
energy of formation from the pure elements = -0.52 eV/atom
E_tot = -36.9 eV/f.u.
spin magnetization = 0.000 μB/f.u.

Cell lengths 4.266, 4.266, 5.793 Å; angles 111.60, 111.60, 90.00 degrees
Positions (direct):
Dy1 0.000 0.000 0.000
Ge1 0.628 0.628 0.257
Ge2 0.372 0.372 0.743
Os1 0.750 0.250 0.500
Ru1 0.250 0.750 0.500

---

Record 3
## Mn2AlRh (GGA-PBE)

Data for crystalline Mn2AlRh at its relaxed geometry.

Calculated values
energy of formation from the pure elements = -0.13 eV/atom
E_tot = -30.0 eV/f.u.
spin magnetization = 3.491 μB/f.u.

Cell lengths 2.671, 2.671, 7.240 Å; angles 90.00, 90.00, 90.00 degrees
Last column: magnetic moment on the atom in μB.
Positions (direct):
Mn1 0.000 0.000 0.002  1.83
Mn2 0.000 0.000 0.498  1.83
Rh1 0.500 0.500 0.250  -0.15
Al1 0.500 0.500 0.750  -0.05

---

Record 4
## HgBiPd4 (GGA-PBE)

Data for crystalline HgBiPd4 at its relaxed geometry.

Calculated values
energy of formation from the pure elements = -0.06 eV/atom
E_tot = -25.3 eV/f.u.
spin magnetization = 0.000 μB/f.u.
offset from the most stable computed form = 103 meV per atom

Cell lengths 5.415, 5.415, 5.415 Å; angles 60.00, 60.00, 60.00 degrees
Positions (direct):
Bi1 0.250 0.250 0.250
Pd1 0.625 0.625 0.125
Pd2 0.625 0.125 0.625
Pd3 0.625 0.625 0.625
Pd4 0.125 0.625 0.625
Hg1 0.000 0.000 0.000

---

Record 5
## MnS (GGA-PBE)

Data for crystalline MnS at its relaxed geometry.

Calculated values
E_tot = -14.1 eV/f.u.
spin magnetization = 1.905 μB/f.u.
E_form (uncorrected) = -0.3837 eV per atom

Cell lengths 3.176, 5.236, 10.701 Å; angles 90.00, 90.00, 90.00 degrees
Last column: magnetic moment on the atom in μB.
Positions (direct):
Mn1 0.000 0.003 0.858  1.53
Mn2 0.500 0.997 0.642  1.53
Mn3 0.500 0.997 0.358  1.53
Mn4 0.000 0.003 0.142  1.53
Mn5 0.000 0.637 0.500  2.69
Mn6 0.500 0.363 0.000  2.69
S1 0.000 0.729 0.702  -0.06
S2 0.500 0.271 0.798  -0.06
S3 0.500 0.271 0.202  -0.06
S4 0.000 0.729 0.298  -0.06
S5 0.000 0.686 0.000  -0.07
S6 0.500 0.314 0.500  -0.07

---

Record 6
## TlCl (GGA-PBE)

Data for crystalline TlCl at its relaxed geometry.

Calculated values
E_tot = -6.1 eV/f.u.
spin magnetization = 0.000 μB/f.u.
E_form (uncorrected) = -0.9295 eV per atom

Cell lengths 8.822, 8.822, 8.129 Å; angles 63.49, 63.49, 26.67 degrees
Positions (direct):
Tl1 0.971 0.971 0.020
Tl2 0.047 0.047 0.518
Tl3 0.207 0.207 0.889
Cl1 0.397 0.397 0.846
Cl2 0.575 0.575 0.201
Cl3 0.636 0.636 0.693

---

Record 7
## SrZnOs (GGA-PBE)

Data for crystalline SrZnOs at its relaxed geometry.

Calculated values
energy of formation from the pure elements = 0.60 eV/atom
E_tot = -12.4 eV/f.u.
spin magnetization = 0.000 μB/f.u.

Cell lengths 4.887, 4.887, 2.924 Å; angles 90.00, 90.00, 120.00 degrees
Positions (direct):
Os1 0.000 0.000 0.833
Sr1 0.667 0.333 0.333
Zn1 0.333 0.667 0.833

---

Record 8
## CsScZn2As (GGA-PBE)

Data for crystalline CsScZn2As at its relaxed geometry.

Calculated values
energy of formation from the pure elements = 1.50 eV/atom
E_tot = -6.9 eV/f.u.
spin magnetization = 0.999 μB/f.u.

Cell lengths 5.744, 6.345, 5.744 Å; angles 90.00, 90.00, 90.00 degrees
Last column: magnetic moment on the atom in μB.
Positions (direct):
Cs1 0.000 0.000 0.000  0.07
Sc1 0.000 0.500 0.000  1.01
As1 0.500 0.500 0.500  -0.34
Zn1 0.000 0.000 0.500  0.00
Zn2 0.500 0.000 0.000  -0.01

---

Record 9
## YThC (GGA-PBE)

Data for crystalline YThC at its relaxed geometry.

Calculated values
energy of formation from the pure elements = -0.23 eV/atom
E_tot = -23.8 eV/f.u.
spin magnetization = 0.001 μB/f.u.
offset from the most stable computed form = 0 meV per atom

Cell lengths 3.615, 3.615, 6.404 Å; angles 90.00, 90.00, 120.00 degrees
Positions (direct):
Y1 0.000 0.000 0.117
C1 0.667 0.333 0.330
Th1 0.333 0.667 0.553

---

Record 10
## CaAl2Pd5 (GGA-PBE)

Data for crystalline CaAl2Pd5 at its relaxed geometry.

Calculated values
energy of formation from the pure elements = -0.73 eV/atom
E_tot = -41.3 eV/f.u.
spin magnetization = 0.000 μB/f.u.

Cell lengths 3.893, 6.536, 6.536 Å; angles 64.71, 72.67, 72.67 degrees
Positions (direct):
Ca1 0.000 0.000 0.000
Al1 0.765 0.735 0.735
Al2 0.235 0.265 0.265
Pd1 0.000 0.500 0.500
Pd2 0.644 0.558 0.155
Pd3 0.356 0.442 0.845
Pd4 0.356 0.845 0.442
Pd5 0.644 0.155 0.558

---

Record 11
## HfPaIn2 (GGA-PBE)

Data for crystalline HfPaIn2 at its relaxed geometry.

Calculated values
energy of formation from the pure elements = -0.06 eV/atom
E_tot = -25.2 eV/f.u.
spin magnetization = 0.000 μB/f.u.
offset from the most stable computed form = 16 meV per atom

Cell lengths 3.191, 3.191, 10.941 Å; angles 81.61, 81.61, 60.00 degrees
Positions (direct):
Hf1 0.666 0.666 0.001
Pa1 0.500 0.500 0.499
In1 0.079 0.079 0.762
In2 0.254 0.254 0.238

---

Record 12
## BaNi2Hg (GGA-PBE)

Data for crystalline BaNi2Hg at its relaxed geometry.

Calculated values
energy of formation from the pure elements = 0.40 eV/atom
E_tot = -12.2 eV/f.u.
spin magnetization = 0.000 μB/f.u.

Cell lengths 7.703, 4.768, 3.675 Å; angles 90.18, 61.25, 128.49 degrees
Positions (direct):
Ba1 0.000 0.500 0.500
Hg1 0.500 0.500 0.000
Ni1 0.000 0.000 0.000
Ni2 0.500 0.000 0.500

---

Q: Which of these has the highest spin magnetization?
A: Mn2AlRh

---

Q: Which value of E_tot does entry 3 give?
A: -30.0 eV/f.u.